BaUSi2Se8 after structural relaxation. Source: Alexandria, functional PBE.

Cell lengths 6.5140, 6.5140, 9.3172 Å; angles 90.00, 90.00, 120.00 degrees
Space group P-3 (No. 147)
Symmetry-distinct sites (fractional):
Ba1 0.0000 0.0000 0.0000 x1
U1 0.0000 0.0000 0.5000 x1
Si1 0.3333 0.6667 0.7534 x2
Se1 0.0078 0.6678 0.3264 x6
Se2 0.3333 0.6667 0.9909 x2

Calculated values
Calculated total energy   -5.100 eV/atom
ΔE_f (raw)   -773 meV per atom